# 1
A plane-wave DFT calculation with GGA-PBE was carried out for an optimized crystal structure of PrPtAu.

a = 4.8488 Å, b = 4.8488 Å, c = 4.8488 Å
α = 60.00°, β = 60.00°, γ = 60.00°
Closest atoms and distances in Å follow each position.
Atoms (fractional coordinates):
Pr: 0.0000 0.0000 0.0000  4 Pt 2.97, 4 Au 2.97
Pt: 0.2500 0.2500 0.2500  4 Pr 2.97
Au: 0.7500 0.7500 0.7500  4 Pr 2.97

Summary:
volume = 80.6 Å³/cell
symmetry = F-43m
DFT formation energy = -0.461 eV/atom
energy relative to the lowest polymorph listed for this composition = 445 meV per atom

---

# 2
A plane-wave DFT calculation with GGA-PBE was carried out for an optimized crystal structure of Dy2Ho2CBr2Cl3.

a = 8.7724 Å, b = 8.7724 Å, c = 7.8216 Å
α = 102.31°, β = 102.31°, γ = 24.60°
Closest atoms and distances in Å follow each position.
Atoms (fractional coordinates):
Dy: 0.1431 0.1431 0.0738  1 C 2.39
Dy: 0.8569 0.8569 0.9262  1 C 2.39
Ho: 0.4977 0.4977 0.2078  2 C 2.48
Ho: 0.5023 0.5023 0.7922  2 C 2.48
C: 0.0000 0.0000 0.0000  2 Dy 2.39, 4 Ho 2.48
Br: 0.3337 0.3337 0.6468  2 Dy 2.84, 1 Ho 2.87
Br: 0.6663 0.6663 0.3532  2 Dy 2.84, 1 Ho 2.87
Cl: 0.0000 0.0000 0.5000  4 Ho 2.95
Cl: 0.3298 0.3298 0.1656  2 Dy 2.76, 1 Ho 2.82
Cl: 0.6702 0.6702 0.8344  2 Dy 2.76, 1 Ho 2.82

Summary:
volume = 244.5 Å³/cell
symmetry = C2/m
energy relative to the lowest polymorph listed for this composition = 7 meV per atom

---

# 3
A plane-wave DFT calculation with GGA-PBE was carried out for an optimized crystal structure of NaTa3Sb5.

a = 5.7610 Å, b = 5.7610 Å, c = 8.8493 Å
α = 90.00°, β = 90.00°, γ = 120.00°
Closest atoms and distances in Å follow each position.
Atoms (fractional coordinates):
Na: 0.0000 0.0000 0.0000  12 Sb 3.89
Ta: 0.0000 0.5000 0.5000  4 Ta 2.88, 6 Sb 2.88-2.92
Ta: 0.5000 0.0000 0.5000  4 Ta 2.88, 6 Sb 2.88-2.92
Ta: 0.5000 0.5000 0.5000  4 Ta 2.88, 6 Sb 2.88-2.92
Sb: 0.0000 0.0000 0.5000  6 Ta 2.88
Sb: 0.3333 0.6667 0.2283  3 Ta 2.92
Sb: 0.3333 0.6667 0.7717  3 Ta 2.92
Sb: 0.6667 0.3333 0.2283  3 Ta 2.92
Sb: 0.6667 0.3333 0.7717  3 Ta 2.92

Summary:
volume = 254.4 Å³/cell
symmetry = P6/mmm
total energy = -58.35 eV/f.u.

---

# 4
A plane-wave DFT calculation with GGA-PBE was carried out for an optimized crystal structure of Sm2HoIn.

a = 4.8748 Å, b = 4.8748 Å, c = 4.9169 Å
α = 90.00°, β = 90.00°, γ = 90.00°
Closest atoms and distances in Å follow each position.
Atoms (fractional coordinates):
Sm: 0.0000 0.5000 0.0000  4 Sm 3.45, 4 In 3.46, 4 Ho 3.46
Sm: 0.5000 0.0000 0.0000  4 Sm 3.45, 4 In 3.46, 4 Ho 3.46
Ho: 0.0000 0.0000 0.5000  4 In 3.45, 8 Sm 3.46
In: 0.5000 0.5000 0.5000  4 Ho 3.45, 8 Sm 3.46

Summary:
volume = 116.8 Å³/cell
symmetry = P4/mmm
total energy = -17.83 eV/f.u.

---

# 5
A plane-wave DFT calculation with GGA-PBE was carried out for an optimized crystal structure of Pr2AlHg5.

a = 5.0166 Å, b = 6.7823 Å, c = 6.7823 Å
α = 60.00°, β = 90.00°, γ = 90.00°
Closest atoms and distances in Å follow each position.
Atoms (fractional coordinates):
Pr: 0.0000 0.0000 0.0000  10 Hg 3.22-3.43, 2 Al 3.40
Pr: 0.5000 0.3310 0.3310  10 Hg 3.22-3.48, 2 Al 3.33
Al: 0.0000 0.5173 0.5173  6 Hg 3.05-3.13, 4 Pr 3.33-3.40
Hg: 0.0000 0.5004 0.9872  1 Al 3.13, 6 Hg 3.16-3.48, 4 Pr 3.22-3.43
Hg: 0.0000 0.9872 0.5004  1 Al 3.13, 6 Hg 3.16-3.48, 4 Pr 3.22-3.43
Hg: 0.5000 0.3433 0.8115  2 Al 3.05, 4 Hg 3.18-3.33, 3 Pr 3.22-3.30
Hg: 0.5000 0.8115 0.3433  2 Al 3.05, 4 Hg 3.18-3.33, 3 Pr 3.22-3.30
Hg: 0.5000 0.8270 0.8270  8 Hg 3.16-3.45, 4 Pr 3.23-3.39

Summary:
volume = 199.8 Å³/cell
symmetry = Amm2
total energy = -17.73 eV/f.u.

---

# 6
A plane-wave DFT calculation with GGA-PBE was carried out for an optimized crystal structure of BaPdN3.

a = 7.2152 Å, b = 7.2152 Å, c = 5.9491 Å
α = 90.00°, β = 90.00°, γ = 147.74°
Closest atoms and distances in Å follow each position.
Atoms (fractional coordinates):
Ba: 0.0987 0.9013 0.7500  6 N 2.85-2.94
Ba: 0.9013 0.0987 0.2500  6 N 2.85-2.94
Pd: 0.3996 0.6004 0.7500  4 N 2.04-2.13
Pd: 0.6004 0.3996 0.2500  4 N 2.04-2.13
N: 0.0682 0.6369 0.2500  1 N 1.18
N: 0.3631 0.9318 0.2500  1 N 1.18
N: 0.5000 0.5000 0.0000  2 Pd 2.04
N: 0.5000 0.5000 0.5000  2 Pd 2.04
N: 0.6369 0.0682 0.7500  1 N 1.18
N: 0.9318 0.3631 0.7500  1 N 1.18

Summary:
volume = 165.3 Å³/cell
symmetry = Cmcm
total energy = -32.01 eV/f.u.

---

# 7
A plane-wave DFT calculation with GGA-PBE was carried out for an optimized crystal structure of Lu2GaMo.

a = 4.8348 Å, b = 4.8348 Å, c = 4.8348 Å
α = 60.00°, β = 60.00°, γ = 60.00°
Closest atoms and distances in Å follow each position.
Atoms (fractional coordinates):
Lu: 0.0000 0.0000 0.0000  4 Mo 2.96, 4 Lu 2.96
Lu: 0.2500 0.2500 0.2500  4 Ga 2.96, 4 Lu 2.96
Ga: 0.5000 0.5000 0.5000  4 Mo 2.96, 4 Lu 2.96
Mo: 0.7500 0.7500 0.7500  4 Lu 2.96, 4 Ga 2.96

Summary:
volume = 79.9 Å³/cell
symmetry = F-43m
total energy = -22.42 eV/f.u.

---

# 8
A plane-wave DFT calculation with GGA-PBE was carried out for an optimized crystal structure of LiHoPd.

a = 4.6127 Å, b = 4.6127 Å, c = 4.6127 Å
α = 60.00°, β = 60.00°, γ = 60.00°
Closest atoms and distances in Å follow each position.
Atoms (fractional coordinates):
Li: 0.0000 0.0000 0.0000  4 Ho 2.82
Ho: 0.7500 0.7500 0.7500  4 Pd 2.82, 4 Li 2.82
Pd: 0.5000 0.5000 0.5000  4 Ho 2.82

Summary:
volume = 69.4 Å³/cell
symmetry = F-43m
energy relative to the lowest polymorph listed for this composition = 398 meV per atom

---

# 9
A plane-wave DFT calculation with GGA-PBE was carried out for an optimized crystal structure of SmPuIn.

a = 5.1923 Å, b = 5.1923 Å, c = 5.1923 Å
α = 60.00°, β = 60.00°, γ = 60.00°
Closest atoms and distances in Å follow each position.
Atoms (fractional coordinates):
Sm: 0.0000 0.0000 0.0000  4 In 3.18
Pu: 0.5000 0.5000 0.5000  4 In 3.18
In: 0.7500 0.7500 0.7500  4 Pu 3.18, 4 Sm 3.18

Summary:
volume = 99.0 Å³/cell
symmetry = F-43m
energy relative to the lowest polymorph listed for this composition = 0 meV per atom

---

# 10
A plane-wave DFT calculation with GGA-PBE was carried out for an optimized crystal structure of Co.

a = 2.4168 Å, b = 2.4168 Å, c = 2.4168 Å
α = 107.29°, β = 107.29°, γ = 113.93°
Closest atoms and distances in Å follow each position.
Atoms (fractional coordinates):
Co: 0.0000 0.0000 0.0000  10 Co 2.42-2.64

Summary:
volume = 10.8 Å³/cell
symmetry = I4/mmm
DFT formation energy = 0.098 eV/atom
energy relative to the lowest polymorph listed for this composition = 98 meV per atom

---

# 11
A plane-wave DFT calculation with GGA-PBE was carried out for an optimized crystal structure of YBeNiB.

a = 4.1577 Å, b = 4.1577 Å, c = 4.1577 Å
α = 60.00°, β = 60.00°, γ = 60.00°
Closest atoms and distances in Å follow each position.
Atoms (fractional coordinates):
Y: 0.0000 0.0000 0.0000  4 Ni 2.55, 4 Be 2.55
Be: 0.2500 0.2500 0.2500  4 B 2.55, 4 Y 2.55
Ni: 0.7500 0.7500 0.7500  4 B 2.55, 4 Y 2.55
B: 0.5000 0.5000 0.5000  4 Be 2.55, 4 Ni 2.55

Summary:
volume = 50.8 Å³/cell
symmetry = F-43m
energy relative to the lowest polymorph listed for this composition = 227 meV per atom

---

# 12
A plane-wave DFT calculation with GGA-PBE was carried out for an optimized crystal structure of Nd2SmSe3.

a = 4.2002 Å, b = 4.2002 Å, c = 10.3166 Å
α = 90.00°, β = 90.00°, γ = 120.00°
Closest atoms and distances in Å follow each position.
Atoms (fractional coordinates):
Nd: 0.3333 0.6667 0.1680  6 Se 2.98-2.99
Nd: 0.6667 0.3333 0.8320  6 Se 2.98-2.99
Sm: 0.0000 0.0000 0.5000  6 Se 2.95
Se: 0.0000 0.0000 0.0000  6 Nd 2.98
Se: 0.3333 0.6667 0.6624  3 Sm 2.95, 3 Nd 2.99
Se: 0.6667 0.3333 0.3376  3 Sm 2.95, 3 Nd 2.99

Summary:
volume = 157.6 Å³/cell
symmetry = P-3m1
total energy = -35.70 eV/f.u.

---

# 13
A plane-wave DFT calculation with GGA-PBE was carried out for an optimized crystal structure of PuSnBi.

a = 5.2274 Å, b = 5.2274 Å, c = 5.2274 Å
α = 60.00°, β = 60.00°, γ = 60.00°
Closest atoms and distances in Å follow each position.
Atoms (fractional coordinates):
Pu: 0.0000 0.0000 0.0000  4 Sn 3.20, 4 Bi 3.20
Sn: 0.2500 0.2500 0.2500  4 Pu 3.20
Bi: 0.7500 0.7500 0.7500  4 Pu 3.20

Summary:
volume = 101.0 Å³/cell
symmetry = F-43m
total energy = -22.39 eV/f.u.